P2WO8, optimized geometry, DFT GGA+U; DOS(E_F) = 0.00 states/eV/f.u.; VASP energy = -79.51 eV/f.u.; spin magnetization = 0.001 μB per cell; excess energy over the best structure of this formula in the dataset = 0.470 eV per formula unit
1.0
-5.053 0.499 3.239
-2.753 -1.872 -4.006
1.961 -3.257 3.561
P W O
2 1 8
direct
0.795 0.667 0.333
0.205 0.333 0.667
0.500 0.000 0.000
0.962 0.333 0.667
0.038 0.667 0.333
0.317 0.175 0.350
0.683 0.825 0.650
0.683 0.350 0.175
0.317 0.650 0.825
0.317 0.175 0.825
0.683 0.825 0.175